Entry 1:
Pu6GeAs3: optimized geometry, PBE.

Cell lengths 5.731, 5.731, 8.334 Å; angles 108.77, 108.77, 87.19 degrees
Fractional coordinates of all 10 atoms:
Pu 0.087 0.710 0.670
Pu 0.290 0.913 0.330
Pu 0.368 0.368 0.078
Pu 0.632 0.632 0.922
Pu 0.710 0.087 0.670
Pu 0.913 0.290 0.330
Ge 0.500 0.500 0.500
As 0.000 0.000 0.000
As 0.220 0.220 0.687
As 0.780 0.780 0.313

Calculated values
Space group   No. 12
Energy relative to the elements   -0.4321 eV per atom
VASP energy   -0.40012 Ha/atom
Density of states at the Fermi level   4.88 states/eV per atom



Entry 2:
PuGe2As: optimized geometry, PBE.

Cell lengths 4.801, 4.801, 4.801 Å; angles 64.04, 64.04, 64.04 degrees
Fractional coordinates of all 4 atoms:
Pu 0.000 0.000 0.000
Ge 0.259 0.259 0.259
Ge 0.741 0.741 0.741
As 0.500 0.500 0.500

Calculated values
Relative energy among the computed polymorphs   427 meV/atom
Space group   No. 166
Energy relative to the elements   0.0063 eV per atom
VASP energy   -0.25900 Ha/atom
Density of states at the Fermi level   2.53 states/eV per atom



Entry 3:
PuGeAs2: optimized geometry, PBE.

Cell lengths 4.421, 4.421, 4.032 Å; angles 90.00, 90.00, 90.00 degrees
Fractional coordinates of all 4 atoms:
Pu 0.000 0.000 0.000
Ge 0.500 0.500 0.000
As 0.000 0.500 0.500
As 0.500 0.000 0.500

Calculated values
Relative energy among the computed polymorphs   0 meV/atom
Space group   No. 123
Energy relative to the elements   -0.4639 eV per atom
VASP energy   -0.27658 Ha/atom
Density of states at the Fermi level   1.72 states/eV per atom



Entry 4:
PuGeAs2: optimized geometry, PBE.

Cell lengths 7.827, 7.827, 7.827 Å; angles 33.25, 33.25, 33.25 degrees
Fractional coordinates of all 4 atoms:
Pu 0.000 0.000 0.000
Ge 0.500 0.500 0.500
As 0.394 0.394 0.394
As 0.606 0.606 0.606

Calculated values
Relative energy among the computed polymorphs   517 meV/atom
Space group   No. 166
Energy relative to the elements   0.0530 eV per atom
VASP energy   -0.25758 Ha/atom
Density of states at the Fermi level   2.87 states/eV per atom